DyAlB14: PBEsol geometry, meta-GGA SCAN.

Structure (POSCAR):
```
DyAlB14
1.0
-2.298 3.131 4.422
0.474 -3.257 6.468
4.956 3.239 4.197
B Al Dy
28 2 2
Direct
0.172 0.628 0.532 B
0.833 0.201 0.133 B
0.643 0.983 0.730 B
0.224 0.777 0.101 B
0.776 0.223 0.899 B
0.168 0.032 0.128 B
0.276 0.399 0.723 B
0.333 0.633 0.701 B
0.672 0.032 0.128 B
0.398 0.601 0.277 B
0.832 0.968 0.872 B
0.898 0.777 0.101 B
0.828 0.372 0.468 B
0.668 0.628 0.532 B
0.167 0.799 0.867 B
0.332 0.372 0.468 B
0.602 0.399 0.723 B
0.090 0.077 0.743 B
0.724 0.601 0.277 B
0.667 0.367 0.299 B
0.590 0.243 0.577 B
0.102 0.223 0.899 B
0.357 0.017 0.270 B
0.143 0.230 0.483 B
0.857 0.770 0.517 B
0.328 0.968 0.872 B
0.410 0.757 0.423 B
0.910 0.923 0.257 B
0.500 0.000 0.500 Al
0.000 0.000 0.500 Al
0.750 0.601 0.899 Dy
0.250 0.399 0.101 Dy
```

Calculated values
For the calculated volume, the calculation gives 252 Å³ per cell. The density of states at the Fermi level is 0.10 states/eV/atom. The calculation puts the total magnetic moment at 0.000 μB/atom. The calculation puts the formation energy at -0.20 eV per atom.